Computed, not measured: crystalline SrVFeO4 at its relaxed geometry at the PBE with a Hubbard U level of DFT.

a b c (Å): 5.621 5.804 6.517
angles (deg): 90.00 104.60 90.00
Fractional positions:
Sr: 0.239 0.250 0.038
Sr: 0.761 0.750 0.962
V: 0.308 0.750 0.328
V: 0.692 0.250 0.672
Fe: 0.115 0.250 0.502
Fe: 0.885 0.750 0.498
O: 0.045 0.531 0.299
O: 0.045 0.969 0.299
O: 0.383 0.750 0.083
O: 0.468 0.250 0.425
O: 0.532 0.750 0.575
O: 0.617 0.250 0.917
O: 0.955 0.031 0.701
O: 0.955 0.469 0.701

## Properties
total energy	-6.977	eV/atom
calculated volume	102.88	Å³/f.u.
SG	P2_1/m, No. 11
DOS(E_F)	0.0000	states/eV/atom